Entry 1:
CsBaIn2P3O12 | SCAN | PBEsol geometry

Lattice parameters (Å, degrees): 10.292 10.292 10.292 90.00 90.00 90.00
Fractional coordinates of all 76 atoms:
O: 0.995 0.580 0.766
O: 0.760 0.085 0.850
O: 0.507 0.427 0.670
O: 0.769 0.549 0.701
O: 0.201 0.731 0.451
O: 0.427 0.670 0.507
O: 0.451 0.201 0.731
O: 0.766 0.995 0.580
O: 0.850 0.760 0.085
O: 0.927 0.830 0.493
O: 0.495 0.920 0.234
O: 0.085 0.850 0.760
O: 0.734 0.005 0.080
O: 0.150 0.260 0.415
O: 0.350 0.740 0.915
O: 0.266 0.505 0.420
O: 0.170 0.993 0.573
O: 0.007 0.073 0.330
O: 0.299 0.269 0.951
O: 0.830 0.493 0.927
O: 0.415 0.150 0.260
O: 0.920 0.234 0.495
O: 0.740 0.915 0.350
O: 0.650 0.240 0.585
O: 0.049 0.799 0.231
O: 0.234 0.495 0.920
O: 0.731 0.451 0.201
O: 0.231 0.049 0.799
O: 0.505 0.420 0.266
O: 0.493 0.927 0.830
O: 0.269 0.951 0.299
O: 0.799 0.231 0.049
O: 0.573 0.170 0.993
O: 0.580 0.766 0.995
O: 0.670 0.507 0.427
O: 0.951 0.299 0.269
O: 0.549 0.701 0.769
O: 0.005 0.080 0.734
O: 0.993 0.573 0.170
O: 0.240 0.585 0.650
O: 0.420 0.266 0.505
O: 0.330 0.007 0.073
O: 0.701 0.769 0.549
O: 0.080 0.734 0.005
O: 0.073 0.330 0.007
O: 0.915 0.350 0.740
O: 0.585 0.650 0.240
O: 0.260 0.415 0.150
In: 0.672 0.828 0.172
In: 0.904 0.404 0.096
In: 0.828 0.172 0.672
In: 0.096 0.904 0.404
In: 0.404 0.096 0.904
In: 0.596 0.596 0.596
In: 0.328 0.328 0.328
In: 0.172 0.672 0.828
P: 0.489 0.785 0.877
P: 0.511 0.285 0.623
P: 0.285 0.623 0.511
P: 0.377 0.011 0.215
P: 0.623 0.511 0.285
P: 0.123 0.989 0.715
P: 0.785 0.877 0.489
P: 0.215 0.377 0.011
P: 0.989 0.715 0.123
P: 0.877 0.489 0.785
P: 0.011 0.215 0.377
P: 0.715 0.123 0.989
Ba: 0.690 0.190 0.310
Ba: 0.190 0.310 0.690
Ba: 0.810 0.810 0.810
Ba: 0.310 0.690 0.190
Cs: 0.956 0.544 0.456
Cs: 0.544 0.456 0.956
Cs: 0.456 0.956 0.544
Cs: 0.044 0.044 0.044

- raw formation energy (meV per atom) = -2546

***

Entry 2:
CsBaIr3 | SCAN | PBEsol geometry

Lattice parameters (Å, degrees): 5.267 5.267 5.267 90.00 90.00 90.00
Fractional coordinates of all 5 atoms:
Ba: 0.000 0.000 0.000
Ir: 0.000 0.500 0.000
Ir: 0.500 0.000 0.000
Ir: 0.000 0.000 0.500
Cs: 0.500 0.500 0.500

- E_form (eV per atom) = 2.496

***

Entry 3:
CsKBa3 | SCAN | PBEsol geometry

Lattice parameters (Å, degrees): 7.298 7.298 7.298 90.00 90.00 90.00
Fractional coordinates of all 5 atoms:
Ba: 0.000 0.000 0.500
Ba: 0.000 0.500 0.000
Ba: 0.500 0.000 0.000
Cs: 0.500 0.500 0.500
K: 0.000 0.000 0.000

- E_form (eV per atom) = 0.416

***

Entry 4:
CsKBa2 | SCAN | PBEsol geometry

Lattice parameters (Å, degrees): 7.302 7.302 7.302 60.00 60.00 60.00
Fractional coordinates of all 4 atoms:
Cs: 0.500 0.500 0.500
Ba: 0.250 0.250 0.250
Ba: 0.750 0.750 0.750
K: 0.000 0.000 0.000

- E_form (eV per atom) = 0.201

***

Entry 5:
Cs2KBaTe | SCAN | PBEsol geometry

Lattice parameters (Å, degrees): 6.682 6.750 6.750 90.00 90.00 90.00
Fractional coordinates of all 5 atoms:
Ba: 0.000 0.000 0.000
K: 0.500 0.000 0.000
Cs: 0.000 0.000 0.500
Cs: 0.000 0.500 0.000
Te: 0.500 0.500 0.500

- raw formation energy (meV per atom) = 319

***

Entry 6:
CsBa3Li | SCAN | PBEsol geometry

Lattice parameters (Å, degrees): 6.502 6.502 6.502 90.00 90.00 90.00
Fractional coordinates of all 5 atoms:
Ba: 0.500 0.000 0.000
Ba: 0.000 0.500 0.000
Ba: 0.000 0.000 0.500
Li: 0.500 0.500 0.500
Cs: 0.000 0.000 0.000

- E_form (eV per atom) = 0.676

***

no.,M_tot (μB/f.u.)
1,0.0
2,1.9
3,3.2
4,0.0
5,3.0
6,1.6